Entry from the Alexandria database: a relaxed CoAsPb4 crystal (PBE).

Space-group type: F-43m
Formation energy, eV per formula unit: 5.13
E, eV per atom: -3.576
Fermi-level density of states, states/eV/f.u.: 5.70
ρ, g cm⁻³: 9.028

```
6
Lattice="0.0000 4.4569 4.4569 4.4569 0.0000 4.4569 4.4569 4.4569 0.0000" Properties=species:S:1:pos:R:3 pbc="T T T"
Pb 5.5757 3.3382 5.5757
Pb 3.3382 5.5757 5.5757
Pb 5.5757 5.5757 3.3382
Pb 3.3382 3.3382 3.3382
Co 0.0000 0.0000 0.0000
As 6.6854 6.6854 6.6854
```

=====

Entry from the Alexandria database: a relaxed Ce3TeS2 crystal (PBE).

Space-group type: Cmcm
E, eV per atom: -6.357
Fermi-level density of states, states/eV/f.u.: 19.38
ρ, g cm⁻³: 6.386
Formation energy (no corrections), meV/atom: -1491

```
12
Lattice="4.6275 0.0000 0.0000 -2.3137 6.7838 0.0000 0.0000 0.0000 10.1396" Properties=species:S:1:pos:R:3 pbc="T T T"
Ce 0.0000 1.3200 7.6047
Ce 2.3137 1.8044 4.6418
Ce 2.3137 5.4638 2.5349
Ce 0.0000 4.9795 9.7116
Ce 2.3137 1.8044 0.4281
Ce 0.0000 4.9795 5.4979
Te 0.0000 3.1632 2.5349
Te 2.3137 3.6206 7.6047
S 0.0000 6.7387 7.6047
S 0.0000 0.0000 5.0698
S 0.0000 0.0000 0.0000
S 2.3137 0.0451 2.5349
```

=====

Which of these has the lowest E? Ce3TeS2